VASP calculation (PBE-GGA) on a geometry-optimized Ce2Dy3Co2 structure.

For the formation energy, the calculation gives -0.168 eV per atom. The crystal system is monoclinic.

a b c (Å): 11.7963 3.5667 8.8438
angles (deg): 90.00 112.55 90.00
Space group C2/m (No. 12)
Asymmetric unit:
Ce: 0.1824 0.0000 0.3199
Dy: 0.0000 0.5000 0.5000
Dy: 0.1156 0.5000 0.9209
Co: 0.1919 0.0000 0.7370

VASP calculation (PBE-GGA) on a geometry-optimized Ce2DyCo structure.

For the formation energy, the calculation gives 0.008 eV per atom. The crystal system is tetragonal.

a b c (Å): 3.5309 3.5309 7.8299
angles (deg): 90.00 90.00 90.00
Space group P4/mmm (No. 123)
Asymmetric unit:
Ce: 0.0000 0.0000 0.1817
Dy: 0.5000 0.5000 0.5000
Co: 0.5000 0.5000 0.0000

VASP calculation (PBE-GGA) on a geometry-optimized Ce2Dy3Co4 structure.

For the formation energy, the calculation gives -0.111 eV per atom. The crystal system is monoclinic.

a b c (Å): 16.0309 4.4810 5.4884
angles (deg): 90.00 109.64 90.00
Space group C2/m (No. 12)
Asymmetric unit:
Ce: 0.1636 0.0000 0.1611
Dy: 0.0000 0.5000 0.0000
Dy: 0.1216 0.5000 0.6191
Co: 0.0002 0.0000 0.2991
Co: 0.2137 0.5000 0.2111

Repeat the first record exactly.
VASP calculation (PBE-GGA) on a geometry-optimized Ce2Dy3Co2 structure.

For the formation energy, the calculation gives -0.168 eV per atom. The crystal system is monoclinic.

a b c (Å): 11.7963 3.5667 8.8438
angles (deg): 90.00 112.55 90.00
Space group C2/m (No. 12)
Asymmetric unit:
Ce: 0.1824 0.0000 0.3199
Dy: 0.0000 0.5000 0.5000
Dy: 0.1156 0.5000 0.9209
Co: 0.1919 0.0000 0.7370

Question: formation energy of number 1 (Ce2Dy3Co2)?
Answer: -0.168 eV per atom